1.
Computed, not measured: a relaxed Zr4ScGa2 crystal at the PBE level of DFT.

## Properties
The formation enthalpy at 0 K comes out at 0.69 eV per atom. Its density of states at the Fermi level is 9.8 states/eV per cell. The symmetry is No. 139. Its theoretical density is 5499 kg/m3.

Cell: 4.654 4.654 8.336 Å, 106.21 106.21 90.00°
Fractional coordinates of all 7 atoms:
Zr: 0.500 0.000 0.000
Zr: 0.191 0.191 0.382
Zr: 0.000 0.500 0.000
Zr: 0.809 0.809 0.618
Ga: 0.370 0.370 0.741
Ga: 0.630 0.630 0.259
Sc: 0.000 0.000 0.000

---

2.
Computed, not measured: a relaxed BaY crystal at the PBE level of DFT.

## Properties
The formation enthalpy at 0 K comes out at 0.67 eV per atom. The value obtained for the polymorph energy (0 for the lowest one) is 508.4 meV per atom. Its density of states at the Fermi level is 15.7 states/eV per cell. The symmetry is No. 136. Its theoretical density is 4052 kg/m3.

Cell: 7.166 7.166 7.221 Å, 90.00 90.00 90.00°
Site moments in Bohr magnetons follow the coordinates.
Fractional coordinates of all 8 atoms:
Ba: 0.321 0.321 0.000  0.07
Ba: 0.179 0.821 0.500  0.07
Ba: 0.679 0.679 0.000  0.07
Ba: 0.821 0.179 0.500  0.07
Y: 0.834 0.166 0.000  0.25
Y: 0.166 0.834 0.000  0.25
Y: 0.334 0.334 0.500  0.25
Y: 0.666 0.666 0.500  0.25

---

3.
Computed, not measured: a relaxed TcIrPd crystal at the PBE level of DFT.

## Properties
The formation enthalpy at 0 K comes out at -0.07 eV per atom. The value obtained for the polymorph energy (0 for the lowest one) is 0.0 meV per atom. Its density of states at the Fermi level is 1.7 states/eV per cell. The symmetry is No. 107. Its theoretical density is 14862 kg/m3.

Cell: 2.742 2.742 6.203 Å, 102.77 102.77 90.00°
Fractional coordinates of all 3 atoms:
Ir: 0.324 0.324 0.649
Pd: 0.003 0.003 0.005
Tc: 0.673 0.673 0.346